Entry 1:
# NpTi2Ir | Alexandria | PBE-GGA | relaxed
data_NpTi2Ir
_cell_length_a 3.024
_cell_length_b 3.024
_cell_length_c 7.504
_cell_angle_alpha 90.00
_cell_angle_beta 90.00
_cell_angle_gamma 90.00
_symmetry_space_group_name_H-M 'P 1'
_symmetry_Int_Tables_number 1
loop_
_symmetry_equiv_pos_as_xyz
'x,y,z'
loop_
_atom_site_label
_atom_site_type_symbol
_atom_site_fract_x
_atom_site_fract_y
_atom_site_fract_z
_atom_site_occupancy
Np1 Np 0.500 0.500 0.000 1
Ir1 Ir 0.500 0.500 0.500 1
Ti1 Ti 0.000 0.000 0.719 1
Ti2 Ti 0.000 0.000 0.281 1
# Magnetic moment: 3.49 μB per cell
# Energy of formation: -0.292 eV per atom


Entry 2:
# CrFe2Se | Alexandria | PBE-GGA | relaxed
data_CrFe2Se
_cell_length_a 7.713
_cell_length_b 7.713
_cell_length_c 7.713
_cell_angle_alpha 21.61
_cell_angle_beta 21.61
_cell_angle_gamma 21.61
_symmetry_space_group_name_H-M 'P 1'
_symmetry_Int_Tables_number 1
loop_
_symmetry_equiv_pos_as_xyz
'x,y,z'
loop_
_atom_site_label
_atom_site_type_symbol
_atom_site_fract_x
_atom_site_fract_y
_atom_site_fract_z
_atom_site_occupancy
Cr1 Cr 0.751 0.751 0.751 1
Fe1 Fe 0.000 0.000 0.000 1
Fe2 Fe 0.254 0.254 0.254 1
Se1 Se 0.495 0.495 0.495 1
# Magnetic moment: 4.89 μB per cell
# Uncorrected formation energy: 1.37 eV per formula unit


Question: Among the records above, which one has the lowest magnetic moment?
Answer: NpTi2Ir


What did the first record say?
# NpTi2Ir | Alexandria | PBE-GGA | relaxed
data_NpTi2Ir
_cell_length_a 3.024
_cell_length_b 3.024
_cell_length_c 7.504
_cell_angle_alpha 90.00
_cell_angle_beta 90.00
_cell_angle_gamma 90.00
_symmetry_space_group_name_H-M 'P 1'
_symmetry_Int_Tables_number 1
loop_
_symmetry_equiv_pos_as_xyz
'x,y,z'
loop_
_atom_site_label
_atom_site_type_symbol
_atom_site_fract_x
_atom_site_fract_y
_atom_site_fract_z
_atom_site_occupancy
Np1 Np 0.500 0.500 0.000 1
Ir1 Ir 0.500 0.500 0.500 1
Ti1 Ti 0.000 0.000 0.719 1
Ti2 Ti 0.000 0.000 0.281 1
# Magnetic moment: 3.49 μB per cell
# Energy of formation: -0.292 eV per atom


Question: Look up the magnetic moment of the first one.
Answer: 3.49 μB per cell


Question: Number 1 is which compound?
Answer: NpTi2Ir